Record 1
DFT (GGA-PBE) results for a relaxed ZnCdRu2 crystal.

The space group is I4/mmm (No. 139) and the conventional cell measures 3.923, 3.923 and 8.197 Å, with angles of 90.00, 90.00 and 90.00 degrees. The inequivalent atoms are Zn at (0.000, 0.000, 0.000), Cd at (0.000, 0.000, 0.500) and Ru at (0.000, 0.500, 0.250).

Its volume is 15.77 A^3/atom. The value obtained for the formation energy is 1.49 eV/f.u. The calculation puts the total energy at -4.81 eV per atom.

Record 2
DFT (GGA-PBE) results for a relaxed ZrCuNiPd crystal.

The space group is F-43m (No. 216) and the conventional cell measures 6.244, 6.244 and 6.244 Å, with angles of 90.00, 90.00 and 90.00 degrees. The inequivalent atoms are Zr at (0.000, 0.000, 0.000), Cu at (0.000, 0.000, 0.500), Ni at (0.250, 0.250, 0.750) and Pd at (0.250, 0.250, 0.250).

Its volume is 15.22 A^3/atom. The value obtained for the formation energy is -1.40 eV/f.u. The calculation puts the total energy at -6.25 eV per atom.

Record 3
DFT (GGA-PBE) results for a relaxed ThCoHg crystal.

The space group is F-43m (No. 216) and the conventional cell measures 6.536, 6.536 and 6.536 Å, with angles of 90.00, 90.00 and 90.00 degrees. The inequivalent atoms are Th at (0.000, 0.000, 0.000), Co at (0.250, 0.250, 0.750) and Hg at (0.000, 0.000, 0.500).

Its volume is 23.27 A^3/atom. The value obtained for the formation energy is -0.26 eV/f.u. The calculation puts the total energy at -5.03 eV per atom.

Record 4
DFT (GGA-PBE) results for a relaxed CaMg6Sn crystal.

The space group is Amm2 (No. 38) and the conventional cell measures 5.041, 6.483 and 12.248 Å, with angles of 90.00, 90.00 and 90.00 degrees. The inequivalent atoms are Ca at (0.000, 0.000, 0.000), Mg at (0.000, 0.000, 0.533), Mg at (0.000, 0.241, 0.260), Mg at (0.500, 0.000, 0.375), Mg at (0.500, 0.246, 0.616) and Sn at (0.500, 0.000, 0.837).

Its volume is 25.02 A^3/atom. The value obtained for the formation energy is -0.65 eV/f.u. The calculation puts the total energy at -2.03 eV per atom.

Record 5
DFT (GGA-PBE) results for a relaxed Tb3Pr2Dy7 crystal.

The space group is Cmmm (No. 65) and the conventional cell measures 5.709, 38.059 and 3.617 Å, with angles of 90.00, 90.00 and 90.00 degrees. The inequivalent atoms are Tb at (0.000, 0.000, 0.000), Tb at (0.000, 0.186, 0.000), Pr at (0.000, 0.353, 0.500), Dy at (0.000, 0.089, 0.500), Dy at (0.000, 0.269, 0.500), Dy at (0.000, 0.429, 0.000) and Dy at (0.000, 0.500, 0.500).

Its volume is 32.75 A^3/atom. The value obtained for the formation energy is 1.34 eV/f.u. The calculation puts the total energy at -4.53 eV per atom.

Record 6
DFT (GGA-PBE) results for a relaxed RePd3F crystal.

The space group is Pm-3m (No. 221) and the conventional cell measures 4.303, 4.303 and 4.303 Å, with angles of 90.00, 90.00 and 90.00 degrees. The inequivalent atoms are Re at (0.000, 0.000, 0.000), Pd at (0.000, 0.500, 0.500) and F at (0.500, 0.500, 0.500).

Its volume is 15.93 A^3/atom. As for the uncorrected formation energy: 0.813 eV/atom. The calculation puts the total energy at -5.17 eV per atom.

Record 7
DFT (GGA-PBE) results for a relaxed LaCd2PtW crystal.

The space group is P4/mmm (No. 123) and the conventional cell measures 5.265, 5.265 and 5.194 Å, with angles of 90.00, 90.00 and 90.00 degrees. The inequivalent atoms are La at (0.000, 0.000, 0.000), Cd at (0.000, 0.500, 0.500), Pt at (0.500, 0.500, 0.000) and W at (0.000, 0.000, 0.500).

Its volume is 28.79 A^3/atom. The value obtained for the formation energy is 5.20 eV/f.u. The calculation puts the total energy at -4.11 eV per atom.

Record 8
DFT (GGA-PBE) results for a relaxed KMo2Os crystal.

The space group is Cm (No. 8) and the conventional cell measures 9.408, 2.952 and 7.016 Å, with angles of 90.00, 98.93 and 90.00 degrees. The inequivalent atoms are K at (0.000, 0.000, 0.000), Mo at (0.001, 0.500, 0.516), Mo at (0.294, 0.500, 0.377) and Os at (0.223, 0.000, 0.640).

Its volume is 24.06 A^3/atom. The value obtained for the formation energy is 4.13 eV/f.u. The calculation puts the total energy at -7.46 eV per atom.

Record 9
DFT (GGA-PBE) results for a relaxed PaSbIr crystal.

The space group is I4mm (No. 107) and the conventional cell measures 3.499, 3.499 and 11.173 Å, with angles of 90.00, 90.00 and 90.00 degrees. The inequivalent atoms are Pa at (0.000, 0.000, 0.000), Sb at (0.000, 0.000, 0.711) and Ir at (0.000, 0.000, 0.379).

Its volume is 22.79 A^3/atom. As for the uncorrected formation energy: -0.475 eV/atom. The calculation puts the total energy at -7.97 eV per atom.

Record 10
DFT (GGA-PBE) results for a relaxed BSbWI2 crystal.

The space group is P4/mmm (No. 123) and the conventional cell measures 5.625, 5.625 and 5.237 Å, with angles of 90.00, 90.00 and 90.00 degrees. The inequivalent atoms are B at (0.000, 0.000, 0.000), Sb at (0.500, 0.500, 0.000), W at (0.500, 0.500, 0.500) and I at (0.000, 0.500, 0.500).

Its volume is 33.14 A^3/atom. As for the uncorrected formation energy: 1.624 eV/atom. The calculation puts the total energy at -3.75 eV per atom.

Record 11
DFT (GGA-PBE) results for a relaxed ZnCdAs crystal.

The space group is Pmn2_1 (No. 31) and the conventional cell measures 12.378, 5.722 and 5.804 Å, with angles of 90.00, 90.00 and 90.00 degrees. The inequivalent atoms are Zn at (0.000, 0.185, 0.000), Zn at (0.155, 0.666, 0.957), Cd at (0.000, 0.353, 0.556), Cd at (0.177, 0.836, 0.397), As at (0.000, 0.834, 0.731) and As at (0.167, 0.308, 0.227).

Its volume is 22.84 A^3/atom. The value obtained for the formation energy is 0.06 eV/f.u. The calculation puts the total energy at -2.26 eV per atom.

Record 12
DFT (GGA-PBE) results for a relaxed DyTa2Os2 crystal.

The space group is I4/mmm (No. 139) and the conventional cell measures 4.372, 4.372 and 10.755 Å, with angles of 90.00, 90.00 and 90.00 degrees. The inequivalent atoms are Dy at (0.000, 0.000, 0.000), Ta at (0.000, 0.500, 0.250) and Os at (0.000, 0.000, 0.382).

Its volume is 20.55 A^3/atom. The value obtained for the formation energy is -1.58 eV/f.u. The calculation puts the total energy at -10.47 eV per atom.

Record 13
DFT (GGA-PBE) results for a relaxed Mn2FeRe crystal.

The space group is Pmmm (No. 47) and the conventional cell measures 2.981, 4.011 and 4.125 Å, with angles of 90.00, 90.00 and 90.00 degrees. The inequivalent atoms are Mn at (0.000, 0.000, 0.000), Mn at (0.500, 0.000, 0.500), Fe at (0.000, 0.500, 0.500) and Re at (0.500, 0.500, 0.000).

Its volume is 12.33 A^3/atom. The value obtained for the formation energy is 0.41 eV/f.u. The calculation puts the total energy at -9.71 eV per atom.

Record 14
DFT (GGA-PBE) results for a relaxed Tb12Pm6Pb crystal.

The space group is R-3 (No. 148, hexagonal axes) and the conventional cell measures 13.0463, 13.0463 and 12.9496 Å, with angles of 90.00, 90.00 and 120.00 degrees. The inequivalent atoms are Tb at (0.0003, 0.2597, 0.0002), Tb at (0.0588, 0.5295, 0.1121), Pm at (0.0910, 0.1830, 0.7745) and Pb at (0.0000, 0.0000, 0.0000).

Its volume is 33.49 A^3/atom. The value obtained for the formation energy is 1.43 eV/f.u. The calculation puts the total energy at -4.54 eV per atom.

Record 15
DFT (GGA-PBE) results for a relaxed PmGa5Cu2 crystal.

The space group is Immm (No. 71) and the conventional cell measures 4.032, 7.105 and 9.827 Å, with angles of 90.00, 90.00 and 90.00 degrees. The inequivalent atoms are Pm at (0.000, 0.000, 0.000), Ga at (0.000, 0.192, 0.353), Ga at (0.000, 0.500, 0.000) and Cu at (0.000, 0.500, 0.248).

Its volume is 17.59 A^3/atom. The value obtained for the formation energy is -2.49 eV/f.u. The calculation puts the total energy at -3.82 eV per atom.

Record 16
DFT (GGA-PBE) results for a relaxed Al2Ag5Au12 crystal.

The space group is Immm (No. 71) and the conventional cell measures 4.233, 8.409 and 19.213 Å, with angles of 90.00, 90.00 and 90.00 degrees. The inequivalent atoms are Al at (0.000, 0.248, 0.000), Ag at (0.000, 0.000, 0.301), Ag at (0.000, 0.500, 0.304), Ag at (0.000, 0.500, 0.500), Au at (0.000, 0.000, 0.095), Au at (0.000, 0.233, 0.412), Au at (0.000, 0.255, 0.197) and Au at (0.000, 0.500, 0.083).

Its volume is 18.00 A^3/atom. The value obtained for the formation energy is -2.22 eV/f.u. The calculation puts the total energy at -3.33 eV per atom.

Record 17
DFT (GGA-PBE) results for a relaxed K2SbW crystal.

The space group is Cmmm (No. 65) and the conventional cell measures 4.222, 4.235 and 11.823 Å, with angles of 90.00, 90.00 and 90.00 degrees. The inequivalent atoms are K at (0.000, 0.000, 0.249), Sb at (0.000, 0.500, 0.000) and W at (0.000, 0.500, 0.500).

Its volume is 26.43 A^3/atom. As for the uncorrected formation energy: 0.951 eV/atom. The calculation puts the total energy at -3.87 eV per atom.

Record 18
DFT (GGA-PBE) results for a relaxed SiTc2Pb crystal.

The space group is R-3m (No. 166, hexagonal axes) and the conventional cell measures 3.1745, 3.1745 and 23.5186 Å, with angles of 90.00, 90.00 and 120.00 degrees. The inequivalent atoms are Si at (0.0000, 0.0000, 0.0000), Tc at (0.0000, 0.0000, 0.2641) and Pb at (0.0000, 0.0000, 0.5000).

Its volume is 17.10 A^3/atom. As for the uncorrected formation energy: 0.336 eV/atom. The calculation puts the total energy at -7.13 eV per atom.

Record 19
DFT (GGA-PBE) results for a relaxed NbAu4 crystal.

The space group is Pm-3m (No. 221) and the conventional cell measures 5.109, 5.109 and 5.109 Å, with angles of 90.00, 90.00 and 90.00 degrees. The inequivalent atoms are Nb at (0.000, 0.000, 0.000), Au at (0.000, 0.000, 0.500) and Au at (0.500, 0.500, 0.500).

Its volume is 26.67 A^3/atom. The value obtained for the formation energy is 5.52 eV/f.u. The calculation puts the total energy at -3.53 eV per atom.